1.
The following is a DFT calculation (PBE) of a relaxed Ho3SnPb2 crystal.

a = 13.106 Å, b = 4.503 Å, c = 11.806 Å
α = 90.00°, β = 90.00°, γ = 90.00°
Fractional positions:
Ho 0.061 0.250 0.106
Ho 0.133 0.750 0.564
Ho 0.237 0.750 0.275
Ho 0.263 0.250 0.775
Ho 0.367 0.250 0.064
Ho 0.439 0.750 0.606
Ho 0.561 0.250 0.394
Ho 0.633 0.750 0.936
Ho 0.737 0.750 0.225
Ho 0.763 0.250 0.725
Ho 0.867 0.250 0.436
Ho 0.939 0.750 0.894
Sn 0.103 0.250 0.378
Sn 0.397 0.750 0.878
Sn 0.603 0.250 0.122
Sn 0.897 0.750 0.622
Pb 0.033 0.250 0.741
Pb 0.186 0.750 0.993
Pb 0.314 0.250 0.493
Pb 0.467 0.750 0.241
Pb 0.533 0.250 0.759
Pb 0.686 0.750 0.507
Pb 0.814 0.250 0.007
Pb 0.967 0.750 0.259

Output
Crystal system   orthorhombic
Formation energy   -0.41 eV per atom
Space-group type   No. 62

***

2.
The following is a DFT calculation (PBE) of a relaxed Rb2TiAgI6 crystal.

a = 8.291 Å, b = 8.291 Å, c = 8.291 Å
α = 60.00°, β = 60.00°, γ = 60.00°
Fractional positions:
Rb 0.250 0.250 0.250
Rb 0.750 0.750 0.750
Ti 0.000 0.000 0.000
Ag 0.500 0.500 0.500
I 0.242 0.242 0.758
I 0.242 0.758 0.242
I 0.242 0.758 0.758
I 0.758 0.242 0.242
I 0.758 0.242 0.758
I 0.758 0.758 0.242

Output
Crystal system   cubic
Uncorrected formation energy   -8.9 eV per formula unit
Space-group type   No. 225
E above lowest polymorph   19.2 meV per atom

***

3.
The following is a DFT calculation (PBE) of a relaxed Rb2SrU3Se8 crystal.

a = 9.377 Å, b = 9.377 Å, c = 9.377 Å
α = 54.65°, β = 54.65°, γ = 54.65°
Fractional positions:
Rb 0.000 0.000 0.000
Rb 0.364 0.364 0.364
Sr 0.744 0.744 0.744
U 0.365 0.365 0.867
U 0.365 0.867 0.365
U 0.867 0.365 0.365
Se 0.107 0.107 0.563
Se 0.107 0.563 0.107
Se 0.137 0.137 0.137
Se 0.158 0.622 0.622
Se 0.563 0.107 0.107
Se 0.601 0.601 0.601
Se 0.622 0.158 0.622
Se 0.622 0.622 0.158

Output
Crystal system   trigonal
Uncorrected formation energy   -17.5 eV per formula unit
Space-group type   No. 160

***

4.
The following is a DFT calculation (PBE) of a relaxed IrSeIO2 crystal.

a = 3.765 Å, b = 3.765 Å, c = 7.965 Å
α = 90.00°, β = 90.00°, γ = 90.00°
Fractional positions:
Ir 0.000 0.000 0.000
Se 0.500 0.500 0.500
I 0.500 0.500 0.000
O 0.000 0.500 0.500
O 0.500 0.000 0.500

Output
Crystal system   tetragonal
Uncorrected formation energy   2.8 eV per formula unit
Space-group type   No. 123
E above lowest polymorph   577.4 meV per atom

***

5.
The following is a DFT calculation (PBE) of a relaxed Sm6Ni2Ru crystal.

a = 8.384 Å, b = 8.384 Å, c = 8.384 Å
α = 110.28°, β = 109.17°, γ = 108.97°
Fractional positions:
Sm 0.053 0.234 0.818
Sm 0.170 0.484 0.313
Sm 0.170 0.857 0.687
Sm 0.328 0.243 0.571
Sm 0.328 0.757 0.085
Sm 0.416 0.234 0.182
Sm 0.584 0.766 0.818
Sm 0.672 0.243 0.915
Sm 0.672 0.757 0.429
Sm 0.830 0.143 0.313
Sm 0.830 0.516 0.687
Sm 0.947 0.766 0.182
Ni 0.173 0.500 0.673
Ni 0.383 0.883 0.500
Ni 0.617 0.117 0.500
Ni 0.827 0.500 0.327
Ru 0.000 0.000 0.000
Ru 0.500 0.500 0.000

Output
Crystal system   orthorhombic
Formation energy   -0.22 eV per atom
Space-group type   No. 71

***

6.
The following is a DFT calculation (PBE) of a relaxed Na8ZnHg6 crystal.

a = 8.183 Å, b = 8.183 Å, c = 8.183 Å
α = 64.87°, β = 64.87°, γ = 64.87°
Fractional positions:
Na 0.017 0.396 0.735
Na 0.161 0.161 0.161
Na 0.265 0.983 0.604
Na 0.396 0.735 0.017
Na 0.604 0.265 0.983
Na 0.735 0.017 0.396
Na 0.839 0.839 0.839
Na 0.983 0.604 0.265
Zn 0.500 0.500 0.500
Hg 0.143 0.759 0.447
Hg 0.241 0.553 0.857
Hg 0.447 0.143 0.759
Hg 0.553 0.857 0.241
Hg 0.759 0.447 0.143
Hg 0.857 0.241 0.553

Output
Crystal system   trigonal
Formation energy   -0.15 eV per atom
Space-group type   No. 148
E above lowest polymorph   0.0 meV per atom

***

| no. | density of states at the Fermi level (states/eV per atom) | spin magnetization (μB/atom) |
| --- | --- | --- |
| 1 | 0.790 | 0.0000 |
| 2 | 1.489 | 0.1000 |
| 3 | 0.903 | 0.4286 |
| 4 | 1.054 | 0.0000 |
| 5 | 1.008 | 0.0000 |
| 6 | 0.475 | 0.0000 |